Record 1
Below is a relaxed Mg2SiBi crystal, with properties calculated at the PBE level.

**Final energy**: -2.988 eV per atom
**Calculated volume**: 91 Å³/cell
**Space-group type**: Fm-3m (225)

Cell and atoms, written as extended XYZ:
```
4
Lattice="0.000 3.570 3.570 3.570 0.000 3.570 3.570 3.570 0.000" Properties=species:S:1:pos:R:3 pbc="T T T"
Mg 1.785 1.785 1.785
Mg 5.355 5.355 5.355
Si 0.000 0.000 0.000
Bi 3.570 3.570 3.570
```

Record 2
Below is a relaxed NaUO3 crystal, with properties calculated at the PBE level.

**Final energy**: -8.259 eV per atom
**Calculated volume**: 166 Å³/cell
**Space-group type**: C2/m (12)

Cell and atoms, written as extended XYZ:
```
10
Lattice="4.239 0.000 0.000 0.000 6.664 -0.018 -2.119 -0.921 5.897" Properties=species:S:1:pos:R:3 pbc="T T T"
Na 2.119 2.413 1.705
Na 0.000 3.329 4.174
U 2.119 -0.064 4.379
U 0.000 5.806 1.500
O 2.119 4.668 5.127
O 0.000 1.074 0.753
O 0.000 -0.295 3.819
O 2.119 6.037 2.060
O 0.000 3.904 1.925
O 2.119 1.839 3.954
```

Record 3
Below is a relaxed Ce5DyIn6 crystal, with properties calculated at the PBE level.

**Energy of formation from the pure elements**: -0.3794 eV per atom
**Calculated volume**: 327 Å³/cell
**Space-group type**: C2/m (12)

Cell and atoms, written as extended XYZ:
```
12
Lattice="5.705 -0.006 0.052 -0.018 6.568 2.692 -0.007 0.219 8.823" Properties=species:S:1:pos:R:3 pbc="T T T"
In 4.786 3.972 4.556
In 4.795 0.564 3.159
In 2.832 5.258 10.916
In 2.848 1.524 0.652
In 0.886 6.217 8.409
In 0.895 2.810 7.012
Ce 3.731 1.299 6.216
Ce 1.931 2.279 3.810
Ce -0.009 3.284 1.346
Ce 3.749 4.502 7.757
Ce 1.950 5.483 5.352
Dy 0.000 0.000 0.000
```

Record 4
Below is a relaxed MgCuIrO6 crystal, with properties calculated at the PBE level.

**Final energy**: -5.783 eV per atom
**Calculated volume**: 191 Å³/cell
**Space-group type**: P-31c (163)

Cell and atoms, written as extended XYZ:
```
18
Lattice="5.065 0.000 0.000 -2.532 4.386 0.000 0.000 0.000 8.575" Properties=species:S:1:pos:R:3 pbc="T T T"
Mg 0.000 2.924 2.144
Mg 2.532 1.462 6.431
Cu 0.000 0.000 0.000
Cu 0.000 0.000 4.288
Ir 2.532 1.462 2.144
Ir 0.000 2.924 6.431
O 1.728 2.820 1.070
O 4.110 1.480 1.070
O -0.773 4.300 5.358
O -1.578 2.906 7.505
O 0.954 1.480 3.217
O 3.337 2.820 3.217
O 0.773 4.300 7.505
O 3.306 0.086 3.217
O -0.805 1.567 5.358
O 1.759 0.086 1.070
O 1.578 2.906 5.358
O 0.805 1.567 7.505
```

Record 5
Below is a relaxed Cu2TeW crystal, with properties calculated at the PBE level.

**Final energy**: -5.662 eV per atom
**Calculated volume**: 64 Å³/cell
**Space-group type**: P4mm (99)

Cell and atoms, written as extended XYZ:
```
4
Lattice="3.276 0.000 0.000 0.000 3.276 0.000 0.000 0.000 5.976" Properties=species:S:1:pos:R:3 pbc="T T T"
Cu 0.000 0.000 0.139
Cu 1.638 1.638 1.223
Te 0.000 0.000 3.030
W 1.638 1.638 4.571
```

Record 6
Below is a relaxed Sc2ZnI crystal, with properties calculated at the PBE level.

**Final energy**: -3.996 eV per atom
**Calculated volume**: 89 Å³/cell
**Space-group type**: Fm-3m (225)

Cell and atoms, written as extended XYZ:
```
4
Lattice="3.379 -0.683 3.630 -1.479 -1.456 4.555 1.042 -4.623 1.611" Properties=species:S:1:pos:R:3 pbc="T T T"
I 1.471 -3.381 4.898
Sc 0.735 -1.691 2.449
Sc 2.206 -5.072 7.347
Zn 0.000 0.000 0.000
```

Record 7
Below is a relaxed Fe2CSe crystal, with properties calculated at the PBE level.

**Final energy**: -6.402 eV per atom
**Calculated volume**: 43 Å³/cell
**Space-group type**: Fm-3m (225)

Cell and atoms, written as extended XYZ:
```
4
Lattice="0.000 2.779 2.779 2.779 0.000 2.779 2.779 2.779 0.000" Properties=species:S:1:pos:R:3 pbc="T T T"
C 0.000 0.000 0.000
Fe 1.390 1.390 1.390
Fe 4.169 4.169 4.169
Se 2.779 2.779 2.779
```

Record 8
Below is a relaxed AlCoW crystal, with properties calculated at the PBE level.

**Energy of formation from the pure elements**: -0.2217 eV per atom
**Calculated volume**: 40 Å³/cell
**Space-group type**: I4mm (107)

Cell and atoms, written as extended XYZ:
```
3
Lattice="-2.330 4.935 0.695 -3.483 3.932 -1.636 -2.358 -0.522 1.391" Properties=species:S:1:pos:R:3 pbc="T T T"
Co -4.637 5.669 -0.147
Al -2.411 -0.379 1.355
W -3.482 2.532 0.632
```

Record 9
Below is a relaxed Lu2CoCu crystal, with properties calculated at the PBE level.

**Energy of formation from the pure elements**: -0.2831 eV per atom
**Calculated volume**: 74 Å³/cell
**Space-group type**: P4/mmm (123)

Cell and atoms, written as extended XYZ:
```
4
Lattice="3.312 0.000 0.000 0.000 3.312 0.000 0.000 0.000 6.748" Properties=species:S:1:pos:R:3 pbc="T T T"
Lu 0.000 0.000 5.136
Lu 0.000 0.000 1.612
Co 1.656 1.656 0.000
Cu 1.656 1.656 3.374
```

Record 10
Below is a relaxed NpPaTi2 crystal, with properties calculated at the PBE level.

**Energy of formation from the pure elements**: 0.3637 eV per atom
**Calculated volume**: 80 Å³/cell
**Space-group type**: R-3m (166)

Cell and atoms, written as extended XYZ:
```
4
Lattice="2.946 0.000 0.000 1.473 2.551 0.000 1.473 0.850 10.687" Properties=species:S:1:pos:R:3 pbc="T T T"
Np 2.946 1.701 5.344
Pa 0.000 0.000 0.000
Ti 1.473 0.850 7.885
Ti 4.419 2.551 2.802
```

Record 11
Below is a relaxed LaTa2Ag crystal, with properties calculated at the PBE level.

**Energy of formation from the pure elements**: 0.7688 eV per atom
**Calculated volume**: 82 Å³/cell
**Space-group type**: P4/mmm (123)

Cell and atoms, written as extended XYZ:
```
4
Lattice="-3.123 0.282 3.986 -0.312 -5.061 0.114 2.505 -0.110 1.970" Properties=species:S:1:pos:R:3 pbc="T T T"
La 1.097 -2.586 1.042
Ag -0.309 0.086 2.978
Ta 0.000 0.000 0.000
Ta -1.717 -2.390 2.050
```

Record 12
Below is a relaxed CuAgHg4 crystal, with properties calculated at the PBE level.

**Energy of formation from the pure elements**: 0.4625 eV per atom
**Calculated volume**: 141 Å³/cell
**Space-group type**: F-43m (216)

Cell and atoms, written as extended XYZ:
```
6
Lattice="-4.947 -2.174 2.206 -4.753 -0.430 -3.361 -1.900 -5.247 -1.711" Properties=species:S:1:pos:R:3 pbc="T T T"
Cu 0.000 0.000 0.000
Ag -8.700 -5.889 -2.150
Hg -6.727 -3.159 -2.756
Hg -6.824 -4.032 0.029
Hg -5.300 -5.569 -1.930
Hg -4.349 -2.944 -1.075
```

Record 13
Below is a relaxed La2Y crystal, with properties calculated at the PBE level.

**Energy of formation from the pure elements**: 0.0311 eV per atom
**Calculated volume**: 215 Å³/cell
**Space-group type**: Cmcm (63)

Cell and atoms, written as extended XYZ:
```
6
Lattice="3.742 0.000 0.000 1.871 9.705 0.000 0.000 0.000 5.920" Properties=species:S:1:pos:R:3 pbc="T T T"
La 1.871 9.696 0.000
La 1.871 5.369 2.960
La 1.871 3.258 0.000
La 3.742 8.635 2.960
Y 3.742 6.471 0.000
Y 3.742 2.156 2.960
```

Record 14
Below is a relaxed KOs2Br crystal, with properties calculated at the PBE level.

**Final energy**: -4.676 eV per atom
**Calculated volume**: 75 Å³/cell
**Space-group type**: F-43m (216)

Cell and atoms, written as extended XYZ:
```
4
Lattice="4.731 0.000 0.000 2.365 4.097 0.000 2.365 1.366 3.863" Properties=species:S:1:pos:R:3 pbc="T T T"
Br 4.731 2.731 1.931
K 7.096 4.097 2.897
Os 0.000 0.000 0.000
Os 2.365 1.366 0.966
```

Record 15
Below is a relaxed Ti2FeP2 crystal, with properties calculated at the PBE level.

**Energy of formation from the pure elements**: -0.9259 eV per atom
**Calculated volume**: 129 Å³/cell
**Space-group type**: P4/mbm (127)

Cell and atoms, written as extended XYZ:
```
10
Lattice="5.760 0.000 0.000 0.000 5.760 0.000 0.000 0.000 3.901" Properties=species:S:1:pos:R:3 pbc="T T T"
P 2.075 4.955 0.000
P 4.955 3.685 0.000
P 3.685 0.805 0.000
P 0.805 2.075 0.000
Fe 0.000 0.000 0.000
Fe 2.880 2.880 0.000
Ti 0.949 3.829 1.950
Ti 3.829 4.811 1.950
Ti 4.811 1.931 1.950
Ti 1.931 0.949 1.950
```

Record 16
Below is a relaxed CeErZnAu crystal, with properties calculated at the PBE level.

**Energy of formation from the pure elements**: -0.4718 eV per atom
**Calculated volume**: 95 Å³/cell
**Space-group type**: F-43m (216)

Cell and atoms, written as extended XYZ:
```
4
Lattice="-1.276 -1.750 -4.641 3.646 -0.949 -3.470 1.097 -4.829 -1.306" Properties=species:S:1:pos:R:3 pbc="T T T"
Zn 0.000 0.000 0.000
Au 1.733 -3.764 -4.709
Ce 0.867 -1.882 -2.354
Er 2.600 -5.647 -7.063
```

Record 17
Below is a relaxed TiGaSe2Br crystal, with properties calculated at the PBE level.

**Final energy**: -4.503 eV per atom
**Calculated volume**: 130 Å³/cell
**Space-group type**: P4/mmm (123)

Cell and atoms, written as extended XYZ:
```
5
Lattice="4.954 0.000 0.000 0.000 4.954 0.000 0.000 0.000 5.298" Properties=species:S:1:pos:R:3 pbc="T T T"
Ga 2.477 2.477 2.649
Se 0.000 2.477 0.000
Se 2.477 0.000 0.000
Br 0.000 0.000 2.649
Ti 0.000 0.000 0.000
```

Record 18
Below is a relaxed Ba4Ga3Ag crystal, with properties calculated at the PBE level.

**Energy of formation from the pure elements**: -0.3217 eV per atom
**Calculated volume**: 288 Å³/cell
**Space-group type**: Pmm2 (25)

Cell and atoms, written as extended XYZ:
```
8
Lattice="5.283 0.000 0.000 0.000 4.666 0.000 0.000 0.000 11.682" Properties=species:S:1:pos:R:3 pbc="T T T"
Ag 2.642 2.333 0.621
Ba 2.642 2.333 4.165
Ba 0.000 2.333 9.965
Ba 0.000 0.000 1.703
Ba 2.642 0.000 7.533
Ga 0.000 2.333 6.458
Ga 0.000 0.000 5.208
Ga 2.642 0.000 11.077
```

Record 19
Below is a relaxed Y2CoSe crystal, with properties calculated at the PBE level.

**Final energy**: -6.343 eV per atom
**Calculated volume**: 195 Å³/cell
**Space-group type**: I-42d (122)

Cell and atoms, written as extended XYZ:
```
8
Lattice="-3.518 -3.753 5.004 5.224 -4.921 -0.018 2.666 -2.421 5.205" Properties=species:S:1:pos:R:3 pbc="T T T"
Y -0.780 -3.461 4.286
Y 3.393 -4.255 2.056
Y 2.786 -5.207 5.773
Y 3.345 -9.267 8.267
Co 0.853 -4.337 2.493
Co 4.372 -5.839 3.840
Se 0.000 0.000 0.000
Se 0.000 -5.256 6.351
```

Record 20
Below is a relaxed LiAl5 crystal, with properties calculated at the PBE level.

**Energy of formation from the pure elements**: -0.0328 eV per atom
**Calculated volume**: 99 Å³/cell
**Space-group type**: Amm2 (38)

Cell and atoms, written as extended XYZ:
```
6
Lattice="-1.458 5.944 4.685 -1.257 -5.297 -5.456 -1.569 -2.853 3.131" Properties=species:S:1:pos:R:3 pbc="T T T"
Al -1.258 -5.263 -5.425
Al -1.324 -1.555 -2.080
Al -1.391 2.192 1.300
Al -2.132 -1.697 0.644
Al -2.197 1.960 3.943
Li -2.064 -5.469 -2.758
```